# 1
! LiTb2Mn | the Alexandria database | PBE-GGA | optimized geometry; values from VASP
&SYSTEM
  ibrav = 0, nat = 4, ntyp = 3
/
ATOMIC_SPECIES
Li 6.94 Li.upf
Tb 158.93 Tb.upf
Mn 54.94 Mn.upf
CELL_PARAMETERS angstrom
3.473 0.000 0.000
0.000 3.473 0.000
0.000 0.000 8.033
ATOMIC_POSITIONS crystal
Li 0.000 0.000 0.000
Tb 0.500 0.500 0.284
Tb 0.500 0.500 0.716
Mn 0.000 0.000 0.500
! - density (g cm⁻³) = 6.5
! - DFT formation energy (eV per formula unit) = 0.47


# 2
! ScNi2Rh2 | the Alexandria database | PBE-GGA | optimized geometry; values from VASP
&SYSTEM
  ibrav = 0, nat = 10, ntyp = 3
/
ATOMIC_SPECIES
Sc 44.96 Sc.upf
Ni 58.69 Ni.upf
Rh 102.91 Rh.upf
CELL_PARAMETERS angstrom
6.766 0.000 0.000
0.000 6.766 0.000
0.000 0.000 3.119
ATOMIC_POSITIONS crystal
Sc 0.000 0.000 0.000
Sc 0.500 0.500 0.000
Ni 0.126 0.374 0.000
Ni 0.374 0.874 0.000
Ni 0.626 0.126 0.000
Ni 0.874 0.626 0.000
Rh 0.170 0.670 0.500
Rh 0.330 0.170 0.500
Rh 0.670 0.830 0.500
Rh 0.830 0.330 0.500
! - density (g cm⁻³) = 8.6
! - polymorph energy (0 for the lowest one) (meV per atom) = 0.0
! - DFT formation energy (eV per formula unit) = -1.23


# 3
! AcAgBr5 | the Alexandria database | PBE-GGA | optimized geometry; values from VASP
&SYSTEM
  ibrav = 0, nat = 14, ntyp = 3
/
ATOMIC_SPECIES
Ac 227.00 Ac.upf
Ag 107.87 Ag.upf
Br 79.90 Br.upf
CELL_PARAMETERS angstrom
4.587 -5.933 0.000
4.587 5.933 0.000
-1.776 0.000 8.874
ATOMIC_POSITIONS crystal
Ac 0.080 0.920 0.750
Ac 0.920 0.080 0.250
Ag 0.500 0.500 0.000
Ag 0.500 0.500 0.500
Br 0.006 0.238 0.957
Br 0.177 0.483 0.358
Br 0.238 0.006 0.457
Br 0.377 0.623 0.750
Br 0.483 0.177 0.858
Br 0.517 0.823 0.142
Br 0.623 0.377 0.250
Br 0.762 0.994 0.543
Br 0.823 0.517 0.642
Br 0.994 0.762 0.043
! - density (g cm⁻³) = 5.0
! - VASP energy (eV per atom) = -3.38


# 4
! Y2ScMn | the Alexandria database | PBE-GGA | optimized geometry; values from VASP
&SYSTEM
  ibrav = 0, nat = 4, ntyp = 3
/
ATOMIC_SPECIES
Y 88.91 Y.upf
Sc 44.96 Sc.upf
Mn 54.94 Mn.upf
CELL_PARAMETERS angstrom
1.705 0.984 10.286
-1.705 0.984 10.286
0.000 -1.968 10.286
ATOMIC_POSITIONS crystal
Y 0.242 0.242 0.242
Y 0.758 0.758 0.758
Sc 0.000 0.000 0.000
Mn 0.500 0.500 0.500
! - density (g cm⁻³) = 4.5
! - polymorph energy (0 for the lowest one) (meV per atom) = 157.4
! - DFT formation energy (eV per formula unit) = 1.07


# 5
! GaAg3C | the Alexandria database | PBE-GGA | optimized geometry; values from VASP
&SYSTEM
  ibrav = 0, nat = 5, ntyp = 3
/
ATOMIC_SPECIES
Ga 69.72 Ga.upf
Ag 107.87 Ag.upf
C 12.01 C.upf
CELL_PARAMETERS angstrom
4.410 0.000 0.000
0.000 4.410 0.000
0.000 0.000 4.410
ATOMIC_POSITIONS crystal
Ga 0.000 0.000 0.000
Ag 0.000 0.500 0.500
Ag 0.500 0.000 0.500
Ag 0.500 0.500 0.000
C 0.500 0.500 0.500
! - density (g cm⁻³) = 7.8
! - polymorph energy (0 for the lowest one) (meV per atom) = 0.0
! - DFT formation energy (eV per formula unit) = 3.62


# 6
! Tl2InGaI4 | the Alexandria database | PBE-GGA | optimized geometry; values from VASP
&SYSTEM
  ibrav = 0, nat = 8, ntyp = 4
/
ATOMIC_SPECIES
Tl 204.38 Tl.upf
In 114.82 In.upf
Ga 69.72 Ga.upf
I 126.90 I.upf
CELL_PARAMETERS angstrom
8.529 0.000 0.000
0.000 4.920 0.000
-2.838 0.000 8.047
ATOMIC_POSITIONS crystal
Tl 0.000 0.000 0.000
Tl 0.500 0.500 0.000
In 0.000 0.500 0.500
Ga 0.500 0.000 0.500
I 0.254 0.000 0.741
I 0.262 0.500 0.265
I 0.738 0.500 0.735
I 0.746 0.000 0.259
! - density (g cm⁻³) = 5.4
! - VASP energy (eV per atom) = -2.61